A plane-wave DFT calculation with GGA-PBE was carried out for ZnCoTcW after structural relaxation.

Cell lengths 4.2703, 4.2703, 4.2703 Å; angles 60.00, 60.00, 60.00 degrees
Positions (direct):
1 Zn 0.0000 0.0000 0.0000
2 Co 0.7500 0.7500 0.7500
3 Tc 0.2500 0.2500 0.2500
4 W 0.5000 0.5000 0.5000

Calculated values
The calculation puts the density of states at the Fermi level at 0.23 states/eV per atom. As for the volume: 55 Å³/cell. Its total energy is -7.89 eV/atom. The calculation puts the energy of formation from the pure elements at 0.039 eV per atom.



A plane-wave DFT calculation with GGA-PBE was carried out for ZrCoTcW after structural relaxation.

Cell lengths 4.4710, 4.4710, 4.4710 Å; angles 60.00, 60.00, 60.00 degrees
Positions (direct):
1 Zr 0.0000 0.0000 0.0000
2 Co 0.7500 0.7500 0.7500
3 Tc 0.2500 0.2500 0.2500
4 W 0.5000 0.5000 0.5000

Calculated values
The calculation puts the density of states at the Fermi level at 0.62 states/eV per atom. As for the volume: 63 Å³/cell. Its total energy is -9.81 eV/atom. The calculation puts the energy of formation from the pure elements at -0.067 eV per atom.



A plane-wave DFT calculation with GGA-PBE was carried out for Y2CoTc after structural relaxation.

Cell lengths 4.7800, 4.7800, 4.7800 Å; angles 60.00, 60.00, 60.00 degrees
Positions (direct):
1 Y 0.0000 0.0000 0.0000
2 Y 0.2500 0.2500 0.2500
3 Co 0.7500 0.7500 0.7500
4 Tc 0.5000 0.5000 0.5000

Calculated values
The calculation puts the density of states at the Fermi level at 0.97 states/eV per atom. As for the volume: 77 Å³/cell. Its total energy is -7.23 eV/atom. The calculation puts the energy of formation from the pure elements at 0.374 eV per atom.



A plane-wave DFT calculation with GGA-PBE was carried out for YCoTc after structural relaxation.

Cell lengths 4.4532, 4.4532, 4.4532 Å; angles 60.00, 60.00, 60.00 degrees
Positions (direct):
1 Y 0.0000 0.0000 0.0000
2 Co 0.2500 0.2500 0.2500
3 Tc 0.7500 0.7500 0.7500

Calculated values
The calculation puts the density of states at the Fermi level at 0.85 states/eV per atom. As for the volume: 62 Å³/cell. The value obtained for the energy above the most stable polymorph in this dataset is 4.293 eV per formula unit. Its total energy is -6.70 eV/atom. The calculation puts the energy of formation from the pure elements at 1.276 eV per atom.



A plane-wave DFT calculation with GGA-PBE was carried out for YCo2Tc after structural relaxation.

Cell lengths 3.0915, 3.0897, 6.6056 Å; angles 90.00, 90.09, 90.00 degrees
Positions (direct):
1 Y 0.0000 0.0000 0.0000
2 Co 0.4996 0.5000 0.3058
3 Co 0.5004 0.5000 0.6942
4 Tc 0.0000 0.0000 0.5000

Calculated values
The calculation puts the density of states at the Fermi level at 1.09 states/eV per atom. As for the volume: 63 Å³/cell. The value obtained for the energy above the most stable polymorph in this dataset is 0.586 eV per formula unit. Its total energy is -7.62 eV/atom. The calculation puts the energy of formation from the pure elements at 0.138 eV per atom.



A plane-wave DFT calculation with GGA-PBE was carried out for Y2CoTc after structural relaxation.

Cell lengths 4.0240, 5.4825, 5.4825 Å; angles 47.00, 90.00, 90.00 degrees
Positions (direct):
1 Y 0.0000 0.0000 0.0000
2 Y 0.5000 0.2951 0.2951
3 Co 0.0000 0.7031 0.7031
4 Tc 0.5000 0.6002 0.6002

Calculated values
The calculation puts the density of states at the Fermi level at 1.18 states/eV per atom. As for the volume: 88 Å³/cell. Its total energy is -7.68 eV/atom. The calculation puts the energy of formation from the pure elements at -0.083 eV per atom.



A plane-wave DFT calculation with GGA-PBE was carried out for YCo2Tc after structural relaxation.

Cell lengths 3.1058, 3.1058, 6.5763 Å; angles 90.00, 90.00, 90.00 degrees
Positions (direct):
1 Y 0.0000 0.0000 0.0000
2 Co 0.0000 0.0000 0.4787
3 Co 0.5000 0.5000 0.3013
4 Tc 0.5000 0.5000 0.6737

Calculated values
The calculation puts the density of states at the Fermi level at 1.69 states/eV per atom. As for the volume: 63 Å³/cell. The value obtained for the energy above the most stable polymorph in this dataset is 0.972 eV per formula unit. Its total energy is -7.53 eV/atom. The calculation puts the energy of formation from the pure elements at 0.235 eV per atom.



A plane-wave DFT calculation with GGA-PBE was carried out for Y2CoTc after structural relaxation.

Cell lengths 3.2572, 3.2572, 8.1075 Å; angles 90.00, 90.00, 90.00 degrees
Positions (direct):
1 Y 0.0000 0.0000 0.0000
2 Y 0.5000 0.5000 0.3879
3 Co 0.0000 0.0000 0.6266
4 Tc 0.5000 0.5000 0.7536

Calculated values
The calculation puts the density of states at the Fermi level at 1.14 states/eV per atom. As for the volume: 86 Å³/cell. Its total energy is -7.46 eV/atom. The calculation puts the energy of formation from the pure elements at 0.136 eV per atom.